First-principles (PBE-GGA) data for a geometry-optimized CsBe structure, as listed in Alexandria via LeMat-Bulk.

Distance to the lowest polymorph of the same formula (eV/atom): 0.110
Symmetry: P2_12_12_1 (19)
N(E_F) (states/eV/f.u.): 1.5
Energy relative to the elements (meV/atom): 749

a = 6.4601 Å, b = 8.4529 Å, c = 11.4157 Å
α = 90.00°, β = 90.00°, γ = 90.00°
Closest atoms and distances in Å follow each position.
Fractional coordinates of all 16 atoms:
Cs  0.0030  0.1084  0.4601  4 Be 3.60-3.97, 1 Cs 3.95
Cs  0.0047  0.6322  0.3855  5 Be 3.65-4.06, 1 Cs 3.95
Cs  0.4953  0.3678  0.8855  5 Be 3.65-4.06, 1 Cs 3.95
Cs  0.4970  0.8916  0.9601  4 Be 3.60-3.97, 1 Cs 3.95
Cs  0.5030  0.3916  0.5399  4 Be 3.60-3.97, 1 Cs 3.95
Cs  0.5047  0.8678  0.6145  5 Be 3.65-4.06, 1 Cs 3.95
Cs  0.9953  0.1322  0.1145  5 Be 3.65-4.06, 1 Cs 3.95
Cs  0.9970  0.6084  0.0399  4 Be 3.60-3.97, 1 Cs 3.95
Be  0.0040  0.8674  0.7651  2 Be 2.14
Be  0.0056  0.6198  0.7247  2 Be 2.14
Be  0.4944  0.3802  0.2247  2 Be 2.14
Be  0.4960  0.1326  0.2651  2 Be 2.14
Be  0.5040  0.6326  0.2349  2 Be 2.14
Be  0.5056  0.8802  0.2753  2 Be 2.14
Be  0.9944  0.1198  0.7753  2 Be 2.14
Be  0.9960  0.3674  0.7349  2 Be 2.14